Compound: LaSm4Y3Te8
Source: the Alexandria database
Functional: PBE
Structure: optimized geometry

Values from the calculation:
The value obtained for the uncorrected formation energy is -1376 meV per atom. Its total moment is 0.00 μB/f.u. Its crystal system is trigonal.

CIF file:
```
data_LaSm4Y3Te8
_chemical_formula_sum 'La3 Sm12 Y9 Te24'
_symmetry_space_group_name_H-M 'R -3 m'
_symmetry_Int_Tables_number 166
_symmetry_space_group_name_Hall '-R 3 2"'
_cell_length_a 8.8637
_cell_length_b 8.8637
_cell_length_c 21.7498
_cell_angle_alpha 90.00
_cell_angle_beta 90.00
_cell_angle_gamma 120.00
loop_
_atom_site_label
_atom_site_type_symbol
_atom_site_fract_x
_atom_site_fract_y
_atom_site_fract_z
La1 La 0.0000 0.0000 0.0000
Sm1 Sm 0.0000 0.0000 0.5000
Sm2 Sm 0.0000 0.5000 0.5000
Y1 Y 0.0000 0.5000 0.0000
Te1 Te 0.0000 0.0000 0.2524
Te2 Te 0.0071 0.5036 0.2506
```

---

Compound: La2Sm3YTe6
Source: the Alexandria database
Functional: PBE
Structure: optimized geometry

Values from the calculation:
The value obtained for the uncorrected formation energy is -1441 meV per atom. Its total moment is 0.00 μB/f.u. Its crystal system is monoclinic.

CIF file:
```
data_La2Sm3YTe6
_chemical_formula_sum 'La4 Sm6 Y2 Te12'
_symmetry_space_group_name_H-M 'C 1 2/m 1'
_symmetry_Int_Tables_number 12
_cell_length_a 19.478
_cell_length_b 4.462
_cell_length_c 8.992
_cell_angle_alpha 90.00
_cell_angle_beta 103.00
_cell_angle_gamma 90.00
loop_
_symmetry_equiv_pos_as_xyz
'x,y,z'
'-x,-y,-z'
'-x,y,-z'
'x,-y,z'
'x+1/2,y+1/2,z'
'-x+1/2,-y+1/2,-z'
'-x+1/2,y+1/2,-z'
'x+1/2,-y+1/2,z'
loop_
_atom_site_label
_atom_site_type_symbol
_atom_site_fract_x
_atom_site_fract_y
_atom_site_fract_z
La1 La 0.167 0.000 0.334
Sm1 Sm 0.000 0.500 0.500
Sm2 Sm 0.171 0.000 0.835
Y1 Y 0.000 0.500 0.000
Te1 Te 0.004 0.000 0.757
Te2 Te 0.163 0.500 0.076
Te3 Te 0.164 0.500 0.589
```

---

Compound: La3Sm2YTe6
Source: the Alexandria database
Functional: PBE
Structure: optimized geometry

Values from the calculation:
The value obtained for the uncorrected formation energy is -1482 meV per atom. Its total moment is 0.00 μB/f.u. Its crystal system is monoclinic.

CIF file:
```
data_La3Sm2YTe6
_chemical_formula_sum 'La6 Sm4 Y2 Te12'
_symmetry_space_group_name_H-M 'C 1 2/m 1'
_symmetry_Int_Tables_number 12
_cell_length_a 19.600
_cell_length_b 4.484
_cell_length_c 9.035
_cell_angle_alpha 90.00
_cell_angle_beta 103.35
_cell_angle_gamma 90.00
loop_
_symmetry_equiv_pos_as_xyz
'x,y,z'
'-x,-y,-z'
'-x,y,-z'
'x,-y,z'
'x+1/2,y+1/2,z'
'-x+1/2,-y+1/2,-z'
'-x+1/2,y+1/2,-z'
'x+1/2,-y+1/2,z'
loop_
_atom_site_label
_atom_site_type_symbol
_atom_site_fract_x
_atom_site_fract_y
_atom_site_fract_z
La1 La 0.000 0.000 0.000
La2 La 0.169 0.500 0.333
Sm1 Sm 0.168 0.500 0.834
Y1 Y 0.000 0.000 0.500
Te1 Te 0.001 0.500 0.740
Te2 Te 0.162 0.000 0.587
Te3 Te 0.168 0.000 0.078
```

---

Compound: LaSm3Y2Te6
Source: the Alexandria database
Functional: PBE
Structure: optimized geometry

Values from the calculation:
The value obtained for the uncorrected formation energy is -1393 meV per atom. Its total moment is 0.00 μB/f.u. Its crystal system is monoclinic.

CIF file:
```
data_LaSm3Y2Te6
_chemical_formula_sum 'La2 Sm6 Y4 Te12'
_symmetry_space_group_name_H-M 'C 1 2/m 1'
_symmetry_Int_Tables_number 12
_cell_length_a 19.342
_cell_length_b 4.424
_cell_length_c 8.927
_cell_angle_alpha 90.00
_cell_angle_beta 103.15
_cell_angle_gamma 90.00
loop_
_symmetry_equiv_pos_as_xyz
'x,y,z'
'-x,-y,-z'
'-x,y,-z'
'x,-y,z'
'x+1/2,y+1/2,z'
'-x+1/2,-y+1/2,-z'
'-x+1/2,y+1/2,-z'
'x+1/2,-y+1/2,z'
loop_
_atom_site_label
_atom_site_type_symbol
_atom_site_fract_x
_atom_site_fract_y
_atom_site_fract_z
La1 La 0.000 0.000 0.000
Sm1 Sm 0.000 0.000 0.500
Sm2 Sm 0.162 0.500 0.831
Y1 Y 0.166 0.500 0.331
Te1 Te 0.004 0.500 0.258
Te2 Te 0.169 0.000 0.579
Te3 Te 0.171 0.000 0.089
```

---

Compound: LaSmYTe3
Source: the Alexandria database
Functional: PBE
Structure: optimized geometry

Values from the calculation:
The value obtained for the uncorrected formation energy is -1318 meV per atom. Its total moment is 0.01 μB/f.u. Its crystal system is monoclinic.

CIF file:
```
data_LaSmYTe3
_chemical_formula_sum 'La2 Sm2 Y2 Te6'
_symmetry_space_group_name_H-M 'P 1 21/m 1'
_symmetry_Int_Tables_number 11
_cell_length_a 8.642
_cell_length_b 4.393
_cell_length_c 10.892
_cell_angle_alpha 90.00
_cell_angle_beta 105.24
_cell_angle_gamma 90.00
loop_
_symmetry_equiv_pos_as_xyz
'x,y,z'
'-x,-y,-z'
'-x,y+1/2,-z'
'x,-y+1/2,z'
loop_
_atom_site_label
_atom_site_type_symbol
_atom_site_fract_x
_atom_site_fract_y
_atom_site_fract_z
La1 La 0.190 0.250 0.218
Sm1 Sm 0.336 0.750 0.909
Y1 Y 0.156 0.250 0.621
Te1 Te 0.083 0.250 0.889
Te2 Te 0.220 0.750 0.451
Te3 Te 0.483 0.750 0.208
```

---

Compound: La2SmTh4
Source: the Alexandria database
Functional: PBE
Structure: optimized geometry

Values from the calculation:
As for the calculated formation energy: 0.062 eV per atom. Its total moment is 0.00 μB/f.u. Its crystal system is orthorhombic.

CIF file:
```
data_La2SmTh4
_chemical_formula_sum 'La4 Sm2 Th8'
_symmetry_space_group_name_H-M 'C m m m'
_symmetry_Int_Tables_number 65
_symmetry_space_group_name_Hall '-C 2 2'
_cell_length_a 3.591
_cell_length_b 36.967
_cell_length_c 3.594
_cell_angle_alpha 90.00
_cell_angle_beta 90.00
_cell_angle_gamma 90.00
loop_
_atom_site_label
_atom_site_type_symbol
_atom_site_fract_x
_atom_site_fract_y
_atom_site_fract_z
La1 La 0.000 0.204 0.000
Sm1 Sm 0.000 0.500 0.500
Th1 Th 0.000 0.071 0.000
Th2 Th 0.000 0.364 0.500
```

---

Compound: La5Sm6Th
Source: the Alexandria database
Functional: PBE
Structure: optimized geometry

Values from the calculation:
As for the calculated formation energy: 0.021 eV per atom. Its total moment is 0.00 μB/f.u. Its crystal system is monoclinic.

CIF file:
```
data_La5Sm6Th
_chemical_formula_sum 'La10 Sm12 Th2'
_symmetry_space_group_name_H-M 'C 1 2/m 1'
_symmetry_Int_Tables_number 12
_cell_length_a 6.382
_cell_length_b 11.063
_cell_length_c 12.042
_cell_angle_alpha 90.00
_cell_angle_beta 100.18
_cell_angle_gamma 90.00
loop_
_symmetry_equiv_pos_as_xyz
'x,y,z'
'-x,-y,-z'
'-x,y,-z'
'x,-y,z'
'x+1/2,y+1/2,z'
'-x+1/2,-y+1/2,-z'
'-x+1/2,y+1/2,-z'
'x+1/2,-y+1/2,z'
loop_
_atom_site_label
_atom_site_type_symbol
_atom_site_fract_x
_atom_site_fract_y
_atom_site_fract_z
La1 La 0.000 0.000 0.000
La2 La 0.000 0.167 0.500
La3 La 0.000 0.334 0.000
Sm1 Sm 0.246 0.336 0.747
Sm2 Sm 0.246 0.500 0.253
Th1 Th 0.000 0.500 0.500
```

---

Compound: La4Sm2Th3
Source: the Alexandria database
Functional: PBE
Structure: optimized geometry

Values from the calculation:
As for the calculated formation energy: 0.238 eV per atom. Its total moment is 0.00 μB/f.u. Its crystal system is orthorhombic.

CIF file:
```
data_La4Sm2Th3
_chemical_formula_sum 'La8 Sm4 Th6'
_symmetry_space_group_name_H-M 'I m m m'
_symmetry_Int_Tables_number 71
_symmetry_space_group_name_Hall '-I 2 2'
_cell_length_a 3.556
_cell_length_b 12.039
_cell_length_c 15.023
_cell_angle_alpha 90.00
_cell_angle_beta 90.00
_cell_angle_gamma 90.00
loop_
_atom_site_label
_atom_site_type_symbol
_atom_site_fract_x
_atom_site_fract_y
_atom_site_fract_z
La1 La 0.000 0.248 0.128
Sm1 Sm 0.000 0.000 0.301
Th1 Th 0.000 0.500 0.000
Th2 Th 0.000 0.500 0.397
```

---

Compound: La3Sm5Th2
Source: the Alexandria database
Functional: PBE
Structure: optimized geometry

Values from the calculation:
As for the calculated formation energy: 0.186 eV per atom. Its total moment is 0.00 μB/f.u. Its crystal system is monoclinic.

CIF file:
```
data_La3Sm5Th2
_chemical_formula_sum 'La12 Sm20 Th8'
_symmetry_space_group_name_H-M 'C 1 2/c 1'
_symmetry_Int_Tables_number 15
_cell_length_a 11.021
_cell_length_b 17.739
_cell_length_c 9.034
_cell_angle_alpha 90.00
_cell_angle_beta 127.45
_cell_angle_gamma 90.00
loop_
_symmetry_equiv_pos_as_xyz
'x,y,z'
'-x,-y,-z'
'-x,y,-z+1/2'
'x,-y,z+1/2'
'x+1/2,y+1/2,z'
'-x+1/2,-y+1/2,-z'
'-x+1/2,y+1/2,-z+1/2'
'x+1/2,-y+1/2,z+1/2'
loop_
_atom_site_label
_atom_site_type_symbol
_atom_site_fract_x
_atom_site_fract_y
_atom_site_fract_z
La1 La 0.000 0.223 0.250
La2 La 0.146 0.124 0.043
Sm1 Sm 0.000 0.030 0.250
Sm2 Sm 0.000 0.280 0.750
Sm3 Sm 0.000 0.468 0.750
Sm4 Sm 0.249 0.382 0.247
Th1 Th 0.136 0.379 0.522
```

---

Compound: La9Sm4Th
Source: the Alexandria database
Functional: PBE
Structure: optimized geometry

Values from the calculation:
As for the calculated formation energy: 0.146 eV per atom. Its total moment is 0.00 μB/f.u. Its crystal system is hexagonal.

CIF file:
```
data_La9Sm4Th
_chemical_formula_sum 'La18 Sm8 Th2'
_symmetry_space_group_name_H-M 'P 63/m m c'
_symmetry_Int_Tables_number 194
_symmetry_space_group_name_Hall '-P 6c 2c'
_cell_length_a 10.1225
_cell_length_b 10.1225
_cell_length_c 11.5964
_cell_angle_alpha 90.00
_cell_angle_beta 90.00
_cell_angle_gamma 120.00
loop_
_atom_site_label
_atom_site_type_symbol
_atom_site_fract_x
_atom_site_fract_y
_atom_site_fract_z
La1 La 0.0752 0.5376 0.2500
La2 La 0.2075 0.4150 0.5357
Sm1 Sm 0.0000 0.0000 0.0000
Sm2 Sm 0.1120 0.2240 0.2500
Th1 Th 0.3333 0.6667 0.7500
```